Crystalline Tb4PrTh at its relaxed geometry. Source: Alexandria, functional PBE. Values from VASP.

```
&SYSTEM
  ibrav = 0, nat = 12, ntyp = 3
/
ATOMIC_SPECIES
Tb 158.93 Tb.upf
Pr 140.91 Pr.upf
Th 232.04 Th.upf
CELL_PARAMETERS angstrom
6.619 -0.740 0.000
-2.702 8.719 0.000
-1.959 -3.990 7.321
ATOMIC_POSITIONS angstrom
Tb -1.629 -1.536 5.439
Tb 1.822 3.235 4.512
Tb -1.680 1.905 5.439
Tb -1.215 5.114 4.512
Tb 3.174 -1.125 2.809
Tb 3.639 2.084 1.882
Tb 0.136 0.755 2.809
Tb 3.588 5.525 1.882
Pr 0.304 4.175 1.277
Pr 1.655 -0.185 6.044
Th -3.006 4.544 7.305
Th 4.964 -0.555 0.016
```

**ρ**: 8.21 Mg/m³
**Final energy**: -4.97 eV/atom
**N(E_F)**: 20.1 states/eV per cell
**Energy of formation**: 153.2 meV per atom
**Distance to the lowest polymorph of the same formula**: 0.128 eV/atom
**Volume**: 33.99 Å³/atom
**Crystal system**: monoclinic